Sm4CBr4Cl | PBE | optimized geometry

Values from the calculation:
- DFT total energy: -103.03 eV for the cell shown
- Total moment: 0.132 μB/f.u.

Lattice parameters (Å, degrees): 18.161 3.872 8.082 90.00 103.41 90.00
Space group C2/m (No. 12)
Unique sites:
1 Sm 0.001 0.000 0.288 [4 per cell]
2 Sm 0.140 0.500 0.578 [4 per cell]
3 C 0.000 0.500 0.500 [2 per cell]
4 Br 0.164 0.000 0.855 [4 per cell]
5 Br 0.170 0.000 0.324 [4 per cell]
6 Cl 0.000 0.500 0.000 [2 per cell]

=====

Tb2CBrCl | PBE | optimized geometry

Values from the calculation:
- DFT total energy: -28.97 eV for the cell shown
- Total moment: 0.017 μB/f.u.

Lattice parameters (Å, degrees): 3.7597 3.7597 10.2070 90.00 90.00 120.00
Space group P3m1 (No. 156)
Unique sites:
1 Tb 0.0000 0.0000 0.0000 [1 per cell]
2 Tb 0.3333 0.6667 0.2658 [1 per cell]
3 C 0.6667 0.3333 0.1331 [1 per cell]
4 Br 0.0000 0.0000 0.4567 [1 per cell]
5 Cl 0.3333 0.6667 0.8297 [1 per cell]

=====

Tm2CBrCl | PBE | optimized geometry

Values from the calculation:
- DFT total energy: -28.90 eV for the cell shown
- Total moment: 0.010 μB/f.u.

Lattice parameters (Å, degrees): 3.6757 3.6757 9.7028 90.00 90.00 120.00
Space group P3m1 (No. 156)
Unique sites:
1 Tm 0.0000 0.0000 0.0000 [1 per cell]
2 Tm 0.3333 0.6667 0.2700 [1 per cell]
3 C 0.6667 0.3333 0.1347 [1 per cell]
4 Br 0.3333 0.6667 0.8012 [1 per cell]
5 Cl 0.0000 0.0000 0.4476 [1 per cell]

=====

Zr2CBrCl | PBE | optimized geometry

Values from the calculation:
- DFT total energy: -36.59 eV for the cell shown
- Total moment: 0.005 μB/f.u.

Lattice parameters (Å, degrees): 3.4818 3.4818 9.9757 90.00 90.00 120.00
Space group P3m1 (No. 156)
Unique sites:
1 Zr 0.0000 0.0000 0.0000 [1 per cell]
2 Zr 0.3333 0.6667 0.2392 [1 per cell]
3 C 0.6667 0.3333 0.1194 [1 per cell]
4 Br 0.3333 0.6667 0.8033 [1 per cell]
5 Cl 0.0000 0.0000 0.4180 [1 per cell]

=====

Cs2PtC4Br2N4 | PBE | optimized geometry

Values from the calculation:
- DFT total energy: -335.89 eV for the cell shown
- Total moment: 0.001 μB/f.u.

Lattice parameters (Å, degrees): 18.435 7.309 12.443 90.00 132.07 90.00
Space group C2/c (No. 15)
Unique sites:
1 Cs 0.181 0.006 0.040 [8 per cell]
2 Pt 0.000 0.500 0.000 [4 per cell]
3 C 0.063 0.325 0.667 [8 per cell]
4 C 0.121 0.481 0.529 [8 per cell]
5 Br 0.073 0.232 0.171 [8 per cell]
6 N 0.102 0.222 0.763 [8 per cell]
7 N 0.193 0.465 0.550 [8 per cell]

=====

CuH6C10Br4N2F2 | PBE | optimized geometry

Values from the calculation:
- DFT total energy: -146.80 eV for the cell shown

Lattice parameters (Å, degrees): 6.029 7.271 8.466 99.76 94.83 103.04
Space group P-1 (No. 2)
Unique sites:
1 Cu 0.000 0.000 0.000 [1 per cell]
2 H 0.186 0.805 0.524 [2 per cell]
3 H 0.202 0.403 0.472 [2 per cell]
4 H 0.413 0.281 0.936 [2 per cell]
5 C 0.052 0.783 0.423 [2 per cell]
6 C 0.090 0.871 0.291 [2 per cell]
7 C 0.164 0.334 0.574 [2 per cell]
8 C 0.283 0.266 0.834 [2 per cell]
9 C 0.330 0.356 0.705 [2 per cell]
10 Br 0.142 0.738 0.850 [2 per cell]
11 Br 0.377 0.035 0.273 [2 per cell]
12 N 0.074 0.152 0.833 [2 per cell]
13 F 0.456 0.533 0.292 [2 per cell]

=====

Which value of DFT total energy does entry 2 give? -28.97 eV for the cell shown